First-principles (PBE-GGA) data for a geometry-optimized AlAsIr2 structure, as listed in Alexandria via LeMat-Bulk.

Unit cell a=5.1380 b=5.1380 c=5.1380 alpha=138.14 beta=138.14 gamma=60.69
Closest atoms and distances in Å follow each position.
Element x y z (fractional)
Ir (0.2500, 0.7500, 0.5000)  4 As 2.60, 4 Al 2.88, 4 Ir 2.88
Ir (0.0000, 0.0000, 0.0000)  4 Al 2.60, 4 As 2.88, 4 Ir 2.88
Al (0.5000, 0.5000, 0.0000)  8 Ir 2.60-2.88, 4 As 2.88
As (0.7500, 0.2500, 0.5000)  8 Ir 2.60-2.88, 4 Al 2.88

For the energy above the most stable polymorph in this dataset, the calculation gives 0.2019 eV per atom. As for the space group: I-4m2. The energy relative to the elements is -0.120 eV/atom.

---

First-principles (PBE-GGA) data for a geometry-optimized Er8Ir2Pd structure, as listed in Alexandria via LeMat-Bulk.

Unit cell a=5.7477 b=7.5245 c=7.5245 alpha=111.86 beta=99.46 gamma=99.46
Closest atoms and distances in Å follow each position.
Element x y z (fractional)
Er (0.1765, 0.3685, 0.3685)  2 Ir 2.98, 1 Pd 3.00
Er (0.8014, 0.6335, 0.6335)  2 Ir 2.96, 1 Pd 3.11
Er (0.5837, 0.3390, 0.0778)  2 Ir 2.79-2.80
Er (0.3897, 0.6692, 0.9304)  2 Ir 2.79-2.81, 1 Pd 3.11
Er (0.3897, 0.9304, 0.6692)  2 Ir 2.79-2.81, 1 Pd 3.11
Er (0.9902, 0.2278, 0.7761)  1 Pd 2.91, 2 Ir 3.06-3.07
Er (0.5837, 0.0778, 0.3390)  2 Ir 2.79-2.80
Er (0.9902, 0.7761, 0.2278)  1 Pd 2.91, 2 Ir 3.06-3.07
Pd (0.1153, 0.0027, 0.0027)  8 Er 2.91-3.19
Ir (0.4897, 0.3157, 0.6932)  8 Er 2.79-3.07
Ir (0.4897, 0.6932, 0.3157)  8 Er 2.79-3.07

For the energy above the most stable polymorph in this dataset, the calculation gives 0.0557 eV per atom. As for the space group: Cm. The energy relative to the elements is -0.501 eV/atom.

---

First-principles (PBE-GGA) data for a geometry-optimized Ti2AlTcAs structure, as listed in Alexandria via LeMat-Bulk.

Unit cell a=4.7222 b=4.5093 c=4.7222 alpha=90.00 beta=90.00 gamma=90.00
Closest atoms and distances in Å follow each position.
Element x y z (fractional)
Tc (0.5000, 0.5000, 0.5000)  8 Ti 3.26, 4 As 3.34
As (0.0000, 0.5000, 0.0000)  2 Al 2.25
Al (0.0000, 0.0000, 0.0000)  2 As 2.25, 4 Ti 2.36
Ti (0.5000, 0.0000, 0.0000)  2 Al 2.36
Ti (0.0000, 0.0000, 0.5000)  2 Al 2.36

As for the space group: P4/mmm. The energy relative to the elements is 1.171 eV/atom.

---

First-principles (PBE-GGA) data for a geometry-optimized SrCaAu3 structure, as listed in Alexandria via LeMat-Bulk.

Unit cell a=3.9700 b=4.5796 c=14.5083 alpha=90.00 beta=97.86 gamma=90.00
Closest atoms and distances in Å follow each position.
Element x y z (fractional)
Sr (0.9264, 0.7500, 0.8529)  10 Au 3.31-3.51
Sr (0.0736, 0.2500, 0.1471)  10 Au 3.31-3.51
Au (0.4726, 0.2500, 0.9453)  3 Au 2.78-2.79
Au (0.3144, 0.7500, 0.6288)  2 Au 2.89, 5 Ca 3.09
Au (0.5274, 0.7500, 0.0547)  3 Au 2.78-2.79
Au (0.3756, 0.2500, 0.7512)  3 Au 2.79-2.89, 2 Ca 3.09
Au (0.6856, 0.2500, 0.3712)  2 Au 2.89, 5 Ca 3.09
Au (0.6244, 0.7500, 0.2488)  3 Au 2.79-2.89, 2 Ca 3.09
Ca (0.7932, 0.2500, 0.5864)  7 Au 3.09
Ca (0.2068, 0.7500, 0.4136)  7 Au 3.09

For the energy above the most stable polymorph in this dataset, the calculation gives 0.0000 eV per atom. As for the space group: Cmcm. The energy relative to the elements is -0.770 eV/atom.

---

First-principles (PBE-GGA) data for a geometry-optimized Li2TlGa structure, as listed in Alexandria via LeMat-Bulk.

Unit cell a=4.7578 b=4.7578 c=4.8487 alpha=86.60 beta=121.95 gamma=121.41
Closest atoms and distances in Å follow each position.
Element x y z (fractional)
Tl (0.1264, 0.3121, 0.4386)  4 Li 2.88-2.94, 4 Ga 2.90-2.92
Ga (0.6190, 0.5624, 0.1813)  4 Li 2.85-2.98, 4 Tl 2.90-2.92
Li (0.1266, 0.8131, 0.9397)  4 Ga 2.85-2.98, 4 Li 2.87-2.95
Li (0.6280, 0.0625, 0.6904)  4 Li 2.87-2.95, 4 Tl 2.88-2.94

For the energy above the most stable polymorph in this dataset, the calculation gives 0.0262 eV per atom. As for the space group: Cm. The energy relative to the elements is -0.193 eV/atom.

---

First-principles (PBE-GGA) data for a geometry-optimized NdAlZn2Pt4 structure, as listed in Alexandria via LeMat-Bulk.

Unit cell a=4.3530 b=4.3530 c=8.9033 alpha=75.85 beta=75.85 gamma=60.00
Closest atoms and distances in Å follow each position.
Element x y z (fractional)
Pt (0.8659, 0.8659, 0.4022)  3 Al 2.65, 4 Zn 2.76-2.80
Pt (0.4034, 0.4034, 0.7899)  1 Al 2.48, 3 Zn 2.56
Pt (0.5966, 0.5966, 0.2101)  1 Al 2.48, 3 Zn 2.56
Pt (0.1341, 0.1341, 0.5978)  3 Al 2.65, 4 Zn 2.76-2.80
Zn (0.2435, 0.2435, 0.2696)  7 Pt 2.56-2.80
Zn (0.7565, 0.7565, 0.7304)  7 Pt 2.56-2.80
Nd (0.0000, 0.0000, 0.0000)  8 Pt 3.09-3.44, 6 Zn 3.41
Al (0.5000, 0.5000, 0.5000)  8 Pt 2.48-2.65

As for the space group: R-3m. The energy relative to the elements is -0.820 eV/atom.

---

First-principles (PBE-GGA) data for a geometry-optimized LaSbW2 structure, as listed in Alexandria via LeMat-Bulk.

Unit cell a=5.6820 b=5.6820 c=2.9278 alpha=90.00 beta=90.00 gamma=115.32
Closest atoms and distances in Å follow each position.
Element x y z (fractional)
W (0.0000, 0.0000, 0.0000)  4 W 2.93-3.04, 4 Sb 3.20, 4 La 3.20
W (0.5000, 0.5000, 0.0000)  4 W 2.93-3.04, 4 La 3.20, 4 Sb 3.20
La (0.5000, 0.0000, 0.5000)  2 La 2.93, 2 Sb 3.04, 8 W 3.20
Sb (0.0000, 0.5000, 0.5000)  2 Sb 2.93, 2 La 3.04, 8 W 3.20

The value obtained for the formation energy (no corrections) is 0.97 eV/atom. As for the space group: Cmmm.

---

First-principles (PBE-GGA) data for a geometry-optimized SrZn3Pb structure, as listed in Alexandria via LeMat-Bulk.

Unit cell a=5.3956 b=5.3956 c=5.3956 alpha=90.00 beta=90.00 gamma=90.00
Closest atoms and distances in Å follow each position.
Element x y z (fractional)
Pb (0.0000, 0.0000, 0.0000)  6 Zn 2.70
Zn (0.0000, 0.0000, 0.5000)  2 Pb 2.70
Zn (0.5000, 0.0000, 0.0000)  2 Pb 2.70
Zn (0.0000, 0.5000, 0.0000)  2 Pb 2.70
Sr (0.5000, 0.5000, 0.5000)  12 Zn 3.82

For the energy above the most stable polymorph in this dataset, the calculation gives 0.0000 eV per atom. As for the space group: Pm-3m. The energy relative to the elements is 0.271 eV/atom.

---

First-principles (PBE-GGA) data for a geometry-optimized LaTh2Sc structure, as listed in Alexandria via LeMat-Bulk.

Unit cell a=3.5246 b=3.5246 c=11.7257 alpha=81.36 beta=81.36 gamma=60.00
Closest atoms and distances in Å follow each position.
Element x y z (fractional)
Th (0.0792, 0.0792, 0.7624)  3 Sc 3.38, 6 Th 3.52, 3 La 3.60
Th (0.2548, 0.2548, 0.2356)  3 Sc 3.43, 6 Th 3.52, 3 La 3.72
Sc (0.6679, 0.6679, 0.9963)  6 Th 3.38-3.43, 6 Sc 3.52
La (0.4981, 0.4981, 0.5057)  6 La 3.52, 6 Th 3.60-3.72

For the energy above the most stable polymorph in this dataset, the calculation gives 0.0211 eV per atom. As for the space group: R3m. The energy relative to the elements is 0.067 eV/atom.

---

First-principles (PBE-GGA) data for a geometry-optimized MnAl2Br structure, as listed in Alexandria via LeMat-Bulk.

Unit cell a=5.0021 b=5.0019 c=3.0118 alpha=90.00 beta=90.00 gamma=93.18
Closest atoms and distances in Å follow each position.
Element x y z (fractional)
Al (0.5000, 0.5000, 0.0000)  4 Br 2.92, 4 Mn 2.92, 2 Al 3.01
Al (0.0000, 0.0000, 0.0000)  4 Mn 2.92, 4 Br 2.92, 2 Al 3.01
Br (0.5000, 0.0000, 0.5000)  8 Al 2.92, 2 Br 3.01
Mn (0.0000, 0.5000, 0.5000)  8 Al 2.92, 2 Mn 3.01

The value obtained for the formation energy (no corrections) is 0.25 eV/atom. For the energy above the most stable polymorph in this dataset, the calculation gives 0.2101 eV per atom. As for the space group: Cmmm.

---

First-principles (PBE-GGA) data for a geometry-optimized Fe3H2 structure, as listed in Alexandria via LeMat-Bulk.

Unit cell a=2.6015 b=4.3172 c=8.5262 alpha=103.59 beta=90.00 gamma=90.00
Closest atoms and distances in Å follow each position.
Element x y z (fractional)
H (0.2500, 0.7367, 0.2522)  4 Fe 1.77-1.80
H (0.7500, 0.2633, 0.7478)  4 Fe 1.77-1.80
H (0.2500, 0.7810, 0.9396)  3 Fe 1.71-1.74
H (0.7500, 0.2190, 0.0604)  3 Fe 1.71-1.74
Fe (0.2500, 0.4457, 0.3725)  1 H 1.80
Fe (0.2500, 0.0198, 0.1311)  4 H 1.71-1.78
Fe (0.2500, 0.0540, 0.6262)  2 H 1.77
Fe (0.7500, 0.5543, 0.6275)  1 H 1.80
Fe (0.7500, 0.9460, 0.3738)  2 H 1.77
Fe (0.7500, 0.9802, 0.8689)  4 H 1.71-1.78

For the energy above the most stable polymorph in this dataset, the calculation gives 0.1565 eV per atom. As for the space group: P2_1/m.

---

First-principles (PBE-GGA) data for a geometry-optimized LiMgTlIn structure, as listed in Alexandria via LeMat-Bulk.

Unit cell a=4.5527 b=4.5534 c=5.4210 alpha=114.78 beta=114.83 gamma=90.00
Closest atoms and distances in Å follow each position.
Element x y z (fractional)
Li (0.7500, 0.2500, 0.5000)  4 In 3.15-3.16, 4 Tl 3.15-3.16, 4 Mg 3.22
Mg (0.2500, 0.7500, 0.5000)  4 In 3.15, 4 Tl 3.15, 4 Li 3.22
Tl (0.0000, 0.0001, 0.0000)  4 Li 3.15-3.16, 4 Mg 3.15, 4 In 3.22
In (0.5000, 0.4999, 0.0000)  4 Li 3.15-3.16, 4 Mg 3.15, 4 Tl 3.22

For the energy above the most stable polymorph in this dataset, the calculation gives 0.0089 eV per atom. As for the space group: I-4m2. The energy relative to the elements is -0.138 eV/atom.

---

First-principles (PBE-GGA) data for a geometry-optimized LiIn2Os structure, as listed in Alexandria via LeMat-Bulk.

Unit cell a=4.2351 b=4.2351 c=9.7136 alpha=77.41 beta=77.41 gamma=90.00
Closest atoms and distances in Å follow each position.
Element x y z (fractional)
In (0.3750, 0.3670, 0.7500)  2 Os 2.74, 2 Li 2.77, 4 In 2.95-3.04
In (0.8750, 0.8830, 0.7500)  2 Os 2.74, 2 Li 2.77, 4 In 2.95-3.04
In (0.6330, 0.1250, 0.2500)  2 Os 2.74, 2 Li 2.77, 4 In 2.95-3.04
In (0.1170, 0.6250, 0.2500)  2 Os 2.74, 2 Li 2.77, 4 In 2.95-3.04
Li (0.2500, 0.7500, 0.5000)  4 In 2.77, 4 Os 2.99
Li (0.5000, 0.5000, 0.0000)  4 In 2.77, 4 Os 2.99
Os (0.0000, 0.0000, 0.0000)  4 In 2.74, 4 Li 2.99
Os (0.7500, 0.2500, 0.5000)  4 In 2.74, 4 Li 2.99

As for the space group: I-42d. The energy relative to the elements is 0.660 eV/atom.

---

First-principles (PBE-GGA) data for a geometry-optimized HfMn2HgAs structure, as listed in Alexandria via LeMat-Bulk.

Unit cell a=5.1727 b=5.0241 c=5.1727 alpha=90.00 beta=90.00 gamma=90.00
Closest atoms and distances in Å follow each position.
Element x y z (fractional)
Mn (0.5000, 0.0000, 0.0000)  2 Hf 2.59
Mn (0.0000, 0.0000, 0.5000)  2 Hf 2.59
Hg (0.5000, 0.5000, 0.5000)  8 Mn 3.61, 4 As 3.66
Hf (0.0000, 0.0000, 0.0000)  2 As 2.51, 4 Mn 2.59
As (0.0000, 0.5000, 0.0000)  2 Hf 2.51

As for the space group: P4/mmm. The energy relative to the elements is 0.975 eV/atom.

---

First-principles (PBE-GGA) data for a geometry-optimized FeCuHg2 structure, as listed in Alexandria via LeMat-Bulk.

Unit cell a=5.3354 b=5.3354 c=4.7726 alpha=72.01 beta=72.01 gamma=32.29
Closest atoms and distances in Å follow each position.
Element x y z (fractional)
Hg (0.9807, 0.9807, 0.0543)  4 Cu 2.81-2.87, 3 Fe 2.84-2.94, 2 Hg 2.97
Hg (0.7630, 0.7630, 0.7031)  4 Fe 2.82-2.83, 3 Cu 2.86-2.94, 2 Hg 2.97
Cu (0.5248, 0.5248, 0.5159)  2 Fe 2.59, 5 Hg 2.81-2.87
Fe (0.2316, 0.2316, 0.2267)  2 Cu 2.59, 6 Hg 2.82-2.84

For the energy above the most stable polymorph in this dataset, the calculation gives 0.0638 eV per atom. As for the space group: Cm. The energy relative to the elements is 0.380 eV/atom.

---

First-principles (PBE-GGA) data for a geometry-optimized Na3CdBi4 structure, as listed in Alexandria via LeMat-Bulk.

Unit cell a=3.4750 b=10.2566 c=8.7057 alpha=126.09 beta=101.51 gamma=90.00
Closest atoms and distances in Å follow each position.
Element x y z (fractional)
Cd (0.5000, 0.0000, 0.0000)  4 Bi 3.07
Na (0.7775, 0.7775, 0.5551)  6 Bi 3.32-3.40, 2 Na 3.47, 2 Cd 3.50
Na (0.0000, 0.5000, 0.0000)  2 Na 3.47, 8 Bi 3.50
Na (0.2225, 0.2225, 0.4449)  6 Bi 3.32-3.40, 2 Na 3.47, 2 Cd 3.50
Bi (0.6217, 0.3736, 0.2435)  1 Cd 3.07, 3 Na 3.32-3.40, 1 Bi 3.32
Bi (0.3783, 0.1301, 0.7565)  1 Cd 3.07, 3 Na 3.32-3.40, 1 Bi 3.32
Bi (0.3783, 0.6264, 0.7565)  1 Cd 3.07, 3 Na 3.32-3.40, 1 Bi 3.32
Bi (0.6217, 0.8699, 0.2435)  1 Cd 3.07, 3 Na 3.32-3.40, 1 Bi 3.32

As for the space group: Immm. The energy relative to the elements is -0.187 eV/atom.

---

First-principles (PBE-GGA) data for a geometry-optimized KP2Pt structure, as listed in Alexandria via LeMat-Bulk.

Unit cell a=3.4773 b=3.4773 c=6.7608 alpha=90.00 beta=90.00 gamma=90.00
Closest atoms and distances in Å follow each position.
Element x y z (fractional)
P (0.0000, 0.0000, 0.0945)  1 P 2.10
P (0.0000, 0.0000, 0.4055)  1 P 2.10
K (0.5000, 0.5000, 0.7500)  2 Pt 3.38, 8 P 3.39, 4 K 3.48
Pt (0.5000, 0.5000, 0.2500)  8 P 2.67

For the energy above the most stable polymorph in this dataset, the calculation gives 0.2732 eV per atom. As for the space group: P4/mmm. The energy relative to the elements is -0.153 eV/atom.

---

First-principles (PBE-GGA) data for a geometry-optimized Th4Pd2Pb structure, as listed in Alexandria via LeMat-Bulk.

Unit cell a=4.4502 b=4.4502 c=12.4217 alpha=79.68 beta=79.68 gamma=60.00
Closest atoms and distances in Å follow each position.
Element x y z (fractional)
Pd (0.5975, 0.5975, 0.2075)  6 Th 2.94-3.01
Pd (0.4025, 0.4025, 0.7925)  6 Th 2.94-3.01
Th (0.3031, 0.3031, 0.0908)  3 Pd 2.94
Th (0.1119, 0.1119, 0.6642)  3 Pd 3.01, 3 Pb 3.25
Th (0.6969, 0.6969, 0.9092)  3 Pd 2.94
Th (0.8881, 0.8881, 0.3358)  3 Pd 3.01, 3 Pb 3.25
Pb (0.5000, 0.5000, 0.5000)  6 Th 3.25, 2 Pd 3.55

As for the space group: R-3m. The energy relative to the elements is -0.301 eV/atom.

---

First-principles (PBE-GGA) data for a geometry-optimized Nd2Th2Ni15 structure, as listed in Alexandria via LeMat-Bulk.

Unit cell a=6.5733 b=6.5733 c=6.5733 alpha=81.92 beta=81.92 gamma=81.92
Closest atoms and distances in Å follow each position.
Element x y z (fractional)
Ni (0.1718, 0.6507, 0.6507)  8 Ni 2.39-2.66
Ni (0.6507, 0.6507, 0.1718)  8 Ni 2.39-2.66
Ni (0.3493, 0.3493, 0.8282)  8 Ni 2.39-2.66
Ni (0.3493, 0.8282, 0.3493)  8 Ni 2.39-2.66
Ni (0.6782, 0.0000, 0.3218)  8 Ni 2.55-2.77
Ni (0.3218, 0.0000, 0.6782)  8 Ni 2.55-2.77
Ni (0.3218, 0.6782, 0.0000)  8 Ni 2.55-2.77
Ni (0.6507, 0.1718, 0.6507)  8 Ni 2.39-2.66
Ni (0.8282, 0.3493, 0.3493)  8 Ni 2.39-2.66
Ni (0.5000, 0.0000, 0.0000)  8 Ni 2.54-2.56, 2 Nd 2.60
Ni (0.0000, 0.3218, 0.6782)  8 Ni 2.55-2.77
Ni (0.0000, 0.5000, 0.0000)  8 Ni 2.54-2.56, 2 Nd 2.60
Ni (0.0000, 0.0000, 0.5000)  8 Ni 2.54-2.56, 2 Nd 2.60
Ni (0.6782, 0.3218, 0.0000)  8 Ni 2.55-2.77
Ni (0.0000, 0.6782, 0.3218)  8 Ni 2.55-2.77
Th (0.3594, 0.3594, 0.3594)  12 Ni 2.92-3.06, 1 Nd 3.22
Th (0.6406, 0.6406, 0.6406)  12 Ni 2.92-3.06, 1 Nd 3.22
Nd (0.8908, 0.8908, 0.8908)  6 Ni 2.60-2.73, 1 Nd 2.81
Nd (0.1092, 0.1092, 0.1092)  6 Ni 2.60-2.73, 1 Nd 2.81

As for the space group: R-3m. The energy relative to the elements is -0.209 eV/atom.

---

First-principles (PBE-GGA) data for a geometry-optimized MnReCl2 structure, as listed in Alexandria via LeMat-Bulk.

Unit cell a=5.7980 b=5.7980 c=5.7980 alpha=143.47 beta=143.47 gamma=52.62
Closest atoms and distances in Å follow each position.
Element x y z (fractional)
Cl (0.0000, 0.0000, 0.0000)  4 Mn 2.57
Cl (0.2500, 0.7500, 0.5000)  4 Re 2.57
Re (0.7500, 0.2500, 0.5000)  4 Cl 2.57
Mn (0.5000, 0.5000, 0.0000)  4 Cl 2.57

The value obtained for the formation energy (no corrections) is 0.96 eV/atom. For the energy above the most stable polymorph in this dataset, the calculation gives 1.0745 eV per atom. As for the space group: I-4m2.